Below is Nd2CrSiO6 after structural relaxation, with properties calculated at the PBE with a Hubbard U level.

Summary:
E_tot: -0.29193 Ha/atom
Volume: 122 Å³/cell

```
Nd2CrSiO6
1.0
-3.064 -1.317 -2.504
-0.456 -4.524 2.938
-3.644 2.432 3.180
Si Nd O Cr
1 2 6 1
direct
0.608 0.000 0.000
0.054 0.500 0.000
0.054 0.000 0.500
0.129 0.500 0.500
0.694 0.224 0.776
0.694 0.776 0.776
0.694 0.776 0.224
0.694 0.224 0.224
0.206 0.000 0.000
0.618 0.500 0.500
```